(1)
Below is an optimized crystal structure of TlZnP2O8, with properties calculated at the PBE-GGA level.

* DOS at the Fermi energy: 9.9 states/eV/f.u.
* DFT total energy: -6.021 eV/atom

Unit cell a=6.9220 b=6.9220 c=5.9488 alpha=90.00 beta=90.00 gamma=90.00
With the nearest neighbours (Å) after each atom.
Space group I-4m2 (No. 119)
Unique sites:
Tl 0.0000 0.0000 0.0000 x2  8 O 2.33-2.36
Zn 0.0000 0.5000 0.2500 x2  8 O 2.29
P 0.0000 0.0000 0.5000 x2  4 O 1.56
P 0.0000 0.5000 0.7500 x2  4 O 1.55
O 0.0000 0.1773 0.3380 x8  1 P 1.56
O 0.0000 0.3294 0.9194 x8  1 P 1.55

***

(2)
Below is an optimized crystal structure of ZrTlP2O8, with properties calculated at the PBE-GGA level.

* DOS at the Fermi energy: 7.7 states/eV/f.u.
* DFT total energy: -7.354 eV/atom

Unit cell a=5.1989 b=5.1989 c=24.2871 alpha=90.00 beta=90.00 gamma=120.00
With the nearest neighbours (Å) after each atom.
Space group R-3 (No. 148, hexagonal axes)
Unique sites:
Zr 0.0000 0.0000 0.0000 x3  6 O 2.10
Tl 0.0000 0.0000 0.5000 x3  6 O 3.09
P 0.0000 0.0000 0.2610 x6  4 O 1.54-1.55
O 0.0000 0.0000 0.1974 x6  1 P 1.54
O 0.0277 0.6067 0.3843 x18  1 P 1.55

***

(3)
Below is an optimized crystal structure of ZrTlPO5, with properties calculated at the PBE-GGA level.

* DOS at the Fermi energy: 0.0 states/eV/f.u.
* DFT total energy: -7.511 eV/atom

Unit cell a=7.2459 b=9.4956 c=7.7745 alpha=90.00 beta=117.38 gamma=90.00
With the nearest neighbours (Å) after each atom.
Space group C2/c (No. 15)
Unique sites:
Zr 0.0000 0.0000 0.0000 x4  6 O 2.03-2.22
Tl 0.0000 0.3282 0.2500 x4  3 O 2.53-2.82
P 0.0000 0.3099 0.7500 x4  4 O 1.56-1.57
O 0.0000 0.0613 0.2500 x4  2 Zr 2.03
O 0.0684 0.2132 0.6258 x8  1 P 1.57
O 0.1853 0.4058 0.8821 x8  1 P 1.56

***

(4)
Below is an optimized crystal structure of Tm2P4O13, with properties calculated at the PBE-GGA level.

* distance to the lowest polymorph of the same formula: 0.802 eV/f.u.
* DOS at the Fermi energy: 0.0 states/eV/f.u.

Unit cell a=11.9300 b=6.7668 c=12.8954 alpha=90.00 beta=107.11 gamma=90.00
With the nearest neighbours (Å) after each atom.
Space group C2/c (No. 15)
Unique sites:
Tm 0.1955 0.0049 0.0496 x8  6 O 2.19-2.44
P 0.0124 0.3397 0.8669 x8  4 O 1.49-1.61
P 0.2360 0.4873 0.6612 x8  4 O 1.51-1.61
O 0.0000 0.2415 0.7500 x4  2 P 1.61
O 0.0107 0.1687 0.9436 x8  1 P 1.53
O 0.0991 0.4775 0.6531 x8  2 P 1.58-1.61
O 0.1123 0.4824 0.8964 x8  1 P 1.49
O 0.1968 0.0070 0.2199 x8  1 P 1.51
O 0.2367 0.1857 0.4043 x8  1 P 1.53
O 0.2491 0.3288 0.0958 x8  1 P 1.54

***

(5)
Below is an optimized crystal structure of TmP3O9, with properties calculated at the PBE-GGA level.

* distance to the lowest polymorph of the same formula: 0.472 eV/f.u.
* DOS at the Fermi energy: 0.0 states/eV/f.u.

Unit cell a=8.4318 b=10.9676 c=7.1668 alpha=90.00 beta=90.00 gamma=90.00
With the nearest neighbours (Å) after each atom.
Space group C222_1 (No. 20)
Unique sites:
Tm 0.1269 0.0000 0.0000 x4  6 O 2.26-2.35
P 0.0139 0.3207 0.4589 x8  4 O 1.49-1.61
P 0.2494 0.0000 0.5000 x4  4 O 1.52-1.59
O 0.0000 0.3702 0.2500 x4  2 P 1.60
O 0.0170 0.1873 0.0286 x8  1 P 1.49
O 0.1372 0.3887 0.9498 x8  2 P 1.59-1.61
O 0.1512 0.0197 0.6747 x8  1 P 1.52
O 0.1637 0.3724 0.5374 x8  1 P 1.49

***

(6)
Below is an optimized crystal structure of Tm2P4O13, with properties calculated at the PBE-GGA level.

* distance to the lowest polymorph of the same formula: 0.000 eV/f.u.
* DOS at the Fermi energy: 0.0 states/eV/f.u.

Unit cell a=7.0411 b=17.3712 c=8.5830 alpha=90.00 beta=90.00 gamma=90.00
With the nearest neighbours (Å) after each atom.
Space group C222_1 (No. 20)
Unique sites:
Tm 0.2492 0.1462 0.1480 x8  6 O 2.18-2.35
P 0.2156 0.4368 0.2757 x8  4 O 1.50-1.60
P 0.2410 0.1606 0.5002 x8  4 O 1.51-1.63
O 0.0000 0.4135 0.2500 x4  2 P 1.59
O 0.0777 0.1581 0.3810 x8  1 P 1.54
O 0.0780 0.3514 0.9007 x8  1 P 1.55
O 0.2013 0.0852 0.6080 x8  2 P 1.60-1.63
O 0.2124 0.1155 0.9015 x8  1 P 1.50
O 0.2404 0.4783 0.7023 x8  1 P 1.50
O 0.2449 0.2301 0.6052 x8  1 P 1.51

***

(7)
Below is an optimized crystal structure of Tm12P3O5, with properties calculated at the PBE-GGA level.

* DOS at the Fermi energy: 15.6 states/eV/f.u.
* DFT total energy: -6.507 eV/atom

Unit cell a=14.7768 b=14.7768 c=14.7768 alpha=90.00 beta=90.00 gamma=90.00
With the nearest neighbours (Å) after each atom.
Space group Ia-3d (No. 230)
Unique sites:
Tm 0.0359 0.0548 0.6506 x96  1 O 2.13
P 0.0000 0.2500 0.1250 x24  8 Tm 2.91-2.96
O 0.0000 0.0000 0.0000 x16  6 Tm 2.43
O 0.0000 0.2500 0.3750 x24  4 Tm 2.13

***

(8)
Below is an optimized crystal structure of Tm2PO, with properties calculated at the PBE-GGA level.

* distance to the lowest polymorph of the same formula: 0.886 eV/f.u.
* DOS at the Fermi energy: 2.5 states/eV/f.u.

Unit cell a=3.5790 b=3.5790 c=19.3047 alpha=90.00 beta=90.00 gamma=120.00
With the nearest neighbours (Å) after each atom.
Space group R3m (No. 160, hexagonal axes)
Unique sites:
Tm 0.0000 0.0000 0.0000 x3  3 O 2.52, 3 P 2.65
Tm 0.0000 0.0000 0.1615 x3  3 P 2.65, 3 O 2.67
P 0.0000 0.0000 0.5808 x3  6 Tm 2.65
O 0.0000 0.0000 0.4076 x3  6 Tm 2.52-2.67

***

(9)
Below is an optimized crystal structure of Tm2PO, with properties calculated at the PBE-GGA level.

* distance to the lowest polymorph of the same formula: 0.000 eV/f.u.
* DOS at the Fermi energy: 1.6 states/eV/f.u.

Unit cell a=3.6765 b=3.6765 c=17.7135 alpha=90.00 beta=90.00 gamma=120.00
With the nearest neighbours (Å) after each atom.
Space group R-3m (No. 166, hexagonal axes)
Unique sites:
Tm 0.0000 0.0000 0.2415 x6  3 O 2.50, 3 P 2.67
P 0.0000 0.0000 0.0000 x3  6 Tm 2.67
O 0.0000 0.0000 0.5000 x3  6 Tm 2.50

***

(10)
Below is an optimized crystal structure of TmP2O6, with properties calculated at the PBE-GGA level.

* DOS at the Fermi energy: 1.7 states/eV/f.u.
* DFT total energy: -7.307 eV/atom

Unit cell a=10.5539 b=3.0939 c=8.0587 alpha=90.00 beta=99.66 gamma=90.00
With the nearest neighbours (Å) after each atom.
Space group C2/m (No. 12)
Unique sites:
Tm 0.0000 0.0000 0.0000 x2  6 O 2.16-2.22
P 0.1830 0.5000 0.7278 x4  2 O 1.52-1.59
O 0.0760 0.5000 0.8450 x4  1 P 1.59
O 0.1623 0.0000 0.6330 x4  2 P 1.72
O 0.1835 0.0000 0.1668 x4  1 P 1.52

***

Which formula does entry 6 have? Tm2P4O13

***

Copy entry 2 word for word.
Below is an optimized crystal structure of ZrTlP2O8, with properties calculated at the PBE-GGA level.

* DOS at the Fermi energy: 7.7 states/eV/f.u.
* DFT total energy: -7.354 eV/atom

Unit cell a=5.1989 b=5.1989 c=24.2871 alpha=90.00 beta=90.00 gamma=120.00
With the nearest neighbours (Å) after each atom.
Space group R-3 (No. 148, hexagonal axes)
Unique sites:
Zr 0.0000 0.0000 0.0000 x3  6 O 2.10
Tl 0.0000 0.0000 0.5000 x3  6 O 3.09
P 0.0000 0.0000 0.2610 x6  4 O 1.54-1.55
O 0.0000 0.0000 0.1974 x6  1 P 1.54
O 0.0277 0.6067 0.3843 x18  1 P 1.55

***

Which value of DOS at the Fermi energy does entry 2 give? 7.7 states/eV/f.u.

***

What is the DOS at the Fermi energy in the second record? 7.7 states/eV/f.u.